Here is crystalline La2BeMoO6 at its relaxed geometry from Alexandria via LeMat-Bulk. Energies are from PBE with a Hubbard U.

```
data_La2BeMoO6
_chemical_formula_sum 'La2 Be1 Mo1 O6'
_cell_length_a 5.380
_cell_length_b 5.456
_cell_length_c 5.604
_cell_angle_alpha 95.61
_cell_angle_beta 112.60
_cell_angle_gamma 117.36
_symmetry_space_group_name_H-M 'P 1'
_symmetry_Int_Tables_number 1
loop_
_symmetry_equiv_pos_as_xyz
'x,y,z'
loop_
_atom_site_label
_atom_site_type_symbol
_atom_site_fract_x
_atom_site_fract_y
_atom_site_fract_z
_atom_site_occupancy
La1 La 0.000 0.000 0.000 1
La2 La 0.018 0.467 0.564 1
Be1 Be 0.395 0.187 0.667 1
Mo1 Mo 0.515 0.728 0.282 1
O1 O 0.015 0.903 0.551 1
O2 O 0.069 0.600 0.038 1
O3 O 0.410 0.393 0.455 1
O4 O 0.418 0.419 0.930 1
O5 O 0.585 0.025 0.624 1
O6 O 0.678 0.066 0.161 1
```

Summary:
Its volume is 127.1 Å³/cell. The total energy is -7.74 eV/atom. For the density of states at the Fermi level, the calculation gives 0.0 states/eV per cell. Its theoretical density is 6.26 g/cm3.